Entry 1:
This record from the Alexandria database describes an optimized crystal structure of Nb2Pt3Rh. The functional is PBE.

Cell and atoms, written as POSCAR:
```
Nb2Pt3Rh
1.0
3.5428 -4.2149 0.0000
3.5428 4.2149 0.0000
-1.7828 0.0000 6.6302
Nb Pt Rh
4 6 2
Direct
0.1018 0.6525 0.8776 Nb
0.3475 0.8982 0.6224 Nb
0.6525 0.1018 0.3776 Nb
0.8982 0.3475 0.1224 Nb
0.1825 0.3674 0.5273 Pt
0.3674 0.1825 0.0273 Pt
0.3782 0.6218 0.2500 Pt
0.6218 0.3782 0.7500 Pt
0.6326 0.8175 0.9727 Pt
0.8175 0.6326 0.4727 Pt
0.0653 0.9347 0.2500 Rh
0.9347 0.0653 0.7500 Rh
```

Properties
* ΔE to the lowest computed polymorph: 0.0000 eV per atom
* energy relative to the elements: -431.2 meV/atom

---

Entry 2:
This record from the Alexandria database describes an optimized crystal structure of CsV3W. The functional is PBE.

Cell and atoms, written as POSCAR:
```
CsV3W
1.0
4.6585 0.0000 0.0000
0.0000 4.6585 0.0000
0.0000 0.0000 4.6585
Cs V W
1 3 1
Direct
0.0000 0.0000 0.0000 Cs
0.0000 0.0000 0.5000 V
0.0000 0.5000 0.0000 V
0.5000 0.0000 0.0000 V
0.5000 0.5000 0.5000 W
```

Properties
* ΔE to the lowest computed polymorph: 1.4018 eV per atom
* energy relative to the elements: 3030.3 meV/atom

---

Entry 3:
This record from the Alexandria database describes an optimized crystal structure of Li2LaCl. The functional is PBE.

Cell and atoms, written as POSCAR:
```
Li2LaCl
1.0
3.5376 0.0000 0.0000
-1.7688 3.0636 0.0000
0.0000 0.0000 28.0173
Li La Cl
6 3 3
Direct
0.0000 0.0000 0.2203 Li
0.0000 0.0000 0.7797 Li
0.3333 0.6667 0.4463 Li
0.3333 0.6667 0.8870 Li
0.6667 0.3333 0.1130 Li
0.6667 0.3333 0.5537 Li
0.0000 0.0000 0.0000 La
0.3333 0.6667 0.6667 La
0.6667 0.3333 0.3333 La
0.0000 0.0000 0.5000 Cl
0.3333 0.6667 0.1667 Cl
0.6667 0.3333 0.8333 Cl
```

Properties
* formation energy without anion corrections: -0.72 eV/atom
* ΔE to the lowest computed polymorph: 0.0000 eV per atom

---

Entry 4:
This record from the Alexandria database describes an optimized crystal structure of Dy6In2C. The functional is PBE.

Cell and atoms, written as POSCAR:
```
Dy6In2C
1.0
0.0000 4.8998 4.8998
4.8998 0.0000 4.8998
4.8998 4.8998 0.0000
Dy In C
6 2 1
Direct
0.2453 0.2453 0.7547 Dy
0.2453 0.7547 0.2453 Dy
0.2453 0.7547 0.7547 Dy
0.7547 0.2453 0.2453 Dy
0.7547 0.2453 0.7547 Dy
0.7547 0.7547 0.2453 Dy
0.2500 0.2500 0.2500 In
0.7500 0.7500 0.7500 In
0.0000 0.0000 0.0000 C
```

Properties
* ΔE to the lowest computed polymorph: 0.0000 eV per atom
* energy relative to the elements: -406.5 meV/atom

---

Entry 5:
This record from the Alexandria database describes an optimized crystal structure of Ho2GaRu. The functional is PBE.

Cell and atoms, written as POSCAR:
```
Ho2GaRu
1.0
3.4643 0.0000 0.0000
0.0000 3.4643 0.0000
0.0000 0.0000 7.0379
Ho Ga Ru
2 1 1
Direct
0.0000 0.0000 0.2334 Ho
0.0000 0.0000 0.7666 Ho
0.5000 0.5000 0.5000 Ga
0.5000 0.5000 0.0000 Ru
```

Properties
* energy relative to the elements: -534.2 meV/atom

---

Entry 6:
This record from the Alexandria database describes an optimized crystal structure of PmThZrN3. The functional is PBE.

Cell and atoms, written as POSCAR:
```
PmThZrN3
1.0
7.2649 0.0000 0.0000
0.0000 3.4921 0.0000
-1.0225 0.0000 8.3619
Pm Th Zr N
2 2 2 6
Direct
0.1096 0.2500 0.3512 Pm
0.8904 0.7500 0.6488 Pm
0.4109 0.7500 0.6661 Th
0.5891 0.2500 0.3339 Th
0.1631 0.2500 0.9474 Zr
0.8369 0.7500 0.0526 Zr
0.1316 0.7500 0.0900 N
0.1632 0.2500 0.6695 N
0.3674 0.7500 0.3966 N
0.6326 0.2500 0.6034 N
0.8368 0.7500 0.3305 N
0.8684 0.2500 0.9100 N
```

Properties
* formation energy without anion corrections: -1.24 eV/atom

---

Entry 7:
This record from the Alexandria database describes an optimized crystal structure of Tb12Tm7Mg. The functional is PBE.

Cell and atoms, written as POSCAR:
```
Tb12Tm7Mg
1.0
7.4098 4.2781 3.3199
-7.4098 4.2781 3.3199
0.0000 -8.5562 3.3199
Tb Tm Mg
12 7 1
Direct
0.0998 0.4399 0.2024 Tb
0.1157 0.2840 0.8229 Tb
0.1771 0.8843 0.7160 Tb
0.2024 0.0998 0.4399 Tb
0.2840 0.8229 0.1157 Tb
0.4399 0.2024 0.0998 Tb
0.5601 0.7976 0.9002 Tb
0.7160 0.1771 0.8843 Tb
0.7976 0.9002 0.5601 Tb
0.8229 0.1157 0.2840 Tb
0.8843 0.7160 0.1771 Tb
0.9002 0.5601 0.7976 Tb
0.0000 0.0000 0.0000 Tm
0.1847 0.4955 0.6031 Tm
0.3969 0.8153 0.5045 Tm
0.4955 0.6031 0.1847 Tm
0.5045 0.3969 0.8153 Tm
0.6031 0.1847 0.4955 Tm
0.8153 0.5045 0.3969 Tm
0.5000 0.5000 0.5000 Mg
```

Properties
* ΔE to the lowest computed polymorph: 0.0000 eV per atom
* energy relative to the elements: 163.6 meV/atom

---

Entry 8:
This record from the Alexandria database describes an optimized crystal structure of LiUF6. The functional is PBE.

Cell and atoms, written as POSCAR:
```
LiUF6
1.0
5.2515 0.0000 0.0000
-2.6257 4.5479 0.0000
0.0000 0.0000 9.7863
Li U F
2 2 12
Direct
0.0000 0.0000 0.0000 Li
0.0000 0.0000 0.5000 Li
0.3333 0.6667 0.2500 U
0.6667 0.3333 0.7500 U
0.0227 0.3320 0.1248 F
0.0227 0.6907 0.3752 F
0.3093 0.3320 0.3752 F
0.3093 0.9773 0.1248 F
0.3320 0.0227 0.6248 F
0.3320 0.3093 0.8752 F
0.6680 0.6907 0.1248 F
0.6680 0.9773 0.3752 F
0.6907 0.0227 0.8752 F
0.6907 0.6680 0.6248 F
0.9773 0.3093 0.6248 F
0.9773 0.6680 0.8752 F
```

Properties
* formation energy without anion corrections: -3.43 eV/atom
* ΔE to the lowest computed polymorph: 0.0205 eV per atom

---

It is found that the spin magnetization values, taken in the order of the records, are 0.000 1.162 0.000 0.001 0.000 0.000 0.006 2.000 μB per cell.